Density functional theory data (GGA-PBE) for crystalline SmPbS2 at its relaxed geometry.

```
SmPbS2
1.0
7.3650 0.0000 0.0000
0.0000 4.3847 0.0000
0.0000 0.0000 14.1014
Sm Pb S
4 4 8
Cartesian
0.8189 1.0962 1.4470
2.8636 3.2885 8.4977
4.5014 1.0962 5.6037
6.5462 3.2885 12.6545
1.6459 3.2885 4.4135
2.0367 1.0962 11.4642
5.3284 3.2885 2.6372
5.7192 1.0962 9.6879
0.6484 3.2885 10.2370
1.5771 3.2885 0.0049
2.1054 1.0962 7.0557
3.0341 1.0962 3.1862
4.3309 3.2885 10.9152
5.2596 3.2885 7.0458
5.7879 1.0962 14.0965
6.7166 1.0962 3.8645
```

Fermi-level density of states = 1.75 states/eV/f.u.
VASP energy = -5.35 eV/atom
ΔE_f (raw) = -1175 meV/atom
ΔE to the lowest computed polymorph = 0.082 eV per atom
crystal system = orthorhombic


Density functional theory data (GGA-PBE) for crystalline Sm3PbS at its relaxed geometry.

```
Sm3PbS
1.0
5.3131 0.0000 0.0000
0.0000 5.3131 0.0000
0.0000 0.0000 5.3131
Sm Pb S
3 1 1
Cartesian
0.0000 0.0000 2.6565
0.0000 2.6565 0.0000
2.6565 0.0000 0.0000
2.6565 2.6565 2.6565
0.0000 0.0000 0.0000
```

Fermi-level density of states = 3.49 states/eV/f.u.
VASP energy = -5.28 eV/atom
ΔE_f (raw) = -885 meV/atom
crystal system = cubic


Density functional theory data (GGA-PBE) for crystalline Sm4Pb2S at its relaxed geometry.

```
Sm4Pb2S
1.0
-2.6000 2.6000 8.2479
2.6000 -2.6000 8.2479
2.6000 2.6000 -8.2479
Sm Pb S
4 2 1
Cartesian
2.6000 0.0000 0.0000
0.0000 0.0000 2.7731
0.0000 2.6000 0.0000
0.0000 0.0000 13.7228
0.0000 0.0000 5.9791
0.0000 0.0000 10.5168
0.0000 0.0000 0.0000
```

Fermi-level density of states = 4.23 states/eV/f.u.
VASP energy = -5.13 eV/atom
ΔE_f (raw) = -785 meV/atom
crystal system = tetragonal


Density functional theory data (GGA-PBE) for crystalline Sm2PbS at its relaxed geometry.

```
Sm2PbS
1.0
3.4411 -1.9799 0.0000
3.4411 1.9799 0.0000
-2.2553 0.0000 7.9939
Sm Pb S
2 1 1
Cartesian
1.1484 0.0000 1.6020
3.4786 0.0000 6.3920
-1.1276 0.0000 3.9970
3.4411 0.0000 0.0000
```

Fermi-level density of states = 2.11 states/eV/f.u.
VASP energy = -5.56 eV/atom
ΔE_f (raw) = -1242 meV/atom
ΔE to the lowest computed polymorph = 0.000 eV per atom
crystal system = monoclinic


Density functional theory data (GGA-PBE) for crystalline Sm2PbS at its relaxed geometry.

```
Sm2PbS
1.0
1.9472 1.1242 8.3083
-1.9472 1.1242 8.3083
0.0000 -2.2484 8.3083
Sm Pb S
2 1 1
Cartesian
0.0000 0.0000 0.0000
0.0000 0.0000 5.0421
0.0000 0.0000 10.8120
0.0000 0.0000 14.9972
```

Fermi-level density of states = 2.04 states/eV/f.u.
VASP energy = -5.55 eV/atom
ΔE_f (raw) = -1235 meV/atom
ΔE to the lowest computed polymorph = 0.007 eV per atom
crystal system = trigonal


Density functional theory data (GGA-PBE) for crystalline Sm6PbS5 at its relaxed geometry.

```
Sm6PbS5
1.0
3.5503 -6.1525 0.0000
3.5503 6.1525 0.0000
-2.3797 0.0000 6.7241
Sm Pb S
6 1 5
Cartesian
-0.0646 2.1452 4.9635
1.0691 0.0000 1.7415
-0.0646 -2.1452 4.9635
4.7855 2.1452 1.7605
3.6519 0.0000 4.9825
4.7855 -2.1452 1.7605
3.5503 0.0000 0.0000
-1.1899 0.0000 3.3620
3.5503 4.0836 0.0000
2.3605 1.9740 3.3620
2.3605 -1.9740 3.3620
3.5503 -4.0836 0.0000
```

Fermi-level density of states = 4.48 states/eV/f.u.
VASP energy = -6.12 eV/atom
ΔE_f (raw) = -1734 meV/atom
crystal system = monoclinic


Density functional theory data (GGA-PBE) for crystalline SmPbS2 at its relaxed geometry.

```
SmPbS2
1.0
1.9417 1.1210 7.9438
-1.9417 1.1210 7.9438
0.0000 -2.2421 7.9438
Sm Pb S
1 1 2
Cartesian
0.0000 0.0000 0.0000
0.0000 0.0000 3.9544
0.0000 0.0000 14.1522
0.0000 0.0000 17.5691
```

Fermi-level density of states = 2.44 states/eV/f.u.
VASP energy = -5.35 eV/atom
ΔE_f (raw) = -1177 meV/atom
ΔE to the lowest computed polymorph = 0.080 eV per atom
crystal system = trigonal


Density functional theory data (GGA-PBE) for crystalline SmPbS3 at its relaxed geometry.

```
SmPbS3
1.0
8.6152 -2.1514 0.0000
8.6152 2.1514 0.0000
-0.7670 0.0000 7.7767
Sm Pb S
2 2 6
Cartesian
2.4585 0.0000 2.7897
14.0049 0.0000 4.9870
6.8371 0.0000 0.7211
9.6262 0.0000 7.0556
3.1957 0.0000 0.0551
5.2135 0.0000 3.1831
7.1024 0.0000 5.8283
9.3609 0.0000 1.9483
11.2499 0.0000 4.5936
13.2676 0.0000 7.7216
```

Fermi-level density of states = 1.43 states/eV/f.u.
VASP energy = -5.20 eV/atom
ΔE_f (raw) = -1034 meV/atom
crystal system = monoclinic